Density functional theory data (PBE) for a relaxed CaDy2ErRh4 crystal.

```
CaDy2ErRh4
1.0
2.4110 1.3920 7.8892
-2.4110 1.3920 7.8892
0.0000 -2.7839 7.8892
Ca Dy Er Rh
1 2 1 4
Cartesian
0.0000 0.0000 0.0000
0.0000 0.0000 5.9565
0.0000 0.0000 17.7113
0.0000 0.0000 11.8339
0.0000 0.0000 3.0263
0.0000 0.0000 8.9578
0.0000 0.0000 14.7099
0.0000 0.0000 20.6414
```

The formation energy is -782 meV per atom.